Computed, not measured: crystalline Pm4SBr5 at its relaxed geometry at the GGA-PBE level of DFT.

Output
Electronic total energy (hartree per atom): -0.1783
Total magnetic moment (μB per atom): 0.000
N(E_F) (states/eV/f.u.): 2.28
V (A^3/atom): 30.433
Space-group type: No. 12
Formation energy from raw total energies (eV per atom): -1.70
Calculated density (g cm⁻³): 5.52

Lattice parameters (Å, degrees): 4.029 8.492 9.378 103.49 102.41 90.00
Fractional positions:
Br 0.500 0.500 0.000
Br 0.827 0.174 0.654
Br 0.164 0.338 0.329
Pm 0.649 0.075 0.299
Pm 0.002 0.783 0.003
Pm 0.998 0.217 0.997
S 0.500 0.000 0.000
Br 0.836 0.662 0.671
Pm 0.351 0.925 0.701
Br 0.173 0.826 0.346

---

Computed, not measured: crystalline PmSBr at its relaxed geometry at the GGA-PBE level of DFT.

Output
Electronic total energy (hartree per atom): -0.1953
Total magnetic moment (μB per atom): 0.000
N(E_F) (states/eV/f.u.): 0.00
V (A^3/atom): 27.521
Space-group type: No. 216
Formation energy from raw total energies (eV per atom): -1.80
Calculated density (g cm⁻³): 5.17
Offset from the most stable computed form (meV/atom): 196

Lattice parameters (Å, degrees): 4.888 4.888 4.888 60.00 60.00 60.00
Fractional positions:
Br 0.500 0.500 0.500
Pm 0.250 0.250 0.250
S 0.000 0.000 0.000

---

Computed, not measured: crystalline PmSBr at its relaxed geometry at the GGA-PBE level of DFT.

Output
Electronic total energy (hartree per atom): -0.2025
Total magnetic moment (μB per atom): 0.000
N(E_F) (states/eV/f.u.): 0.00
V (A^3/atom): 28.444
Space-group type: No. 43
Formation energy from raw total energies (eV per atom): -1.99
Calculated density (g cm⁻³): 5.00
Offset from the most stable computed form (meV/atom): 1

Lattice parameters (Å, degrees): 7.249 7.249 8.043 109.25 109.25 105.55
Fractional positions:
S 0.354 0.894 0.240
Br 0.783 0.619 0.746
S 0.364 0.404 0.260
Br 0.869 0.533 0.246
Pm 0.484 0.111 0.037
S 0.144 0.104 0.740
Pm 0.697 0.824 0.463
Br 0.873 0.036 0.254
Pm 0.361 0.234 0.537
S 0.654 0.114 0.760
Br 0.286 0.623 0.754
Pm 0.074 0.447 0.963

---

- Among the records above, which one has the lowest calculated density?
  number 3